(1)
The following is a PBE-GGA calculation of ZrAu2Se after structural relaxation, from Alexandria via LeMat-Bulk.

Summary:
raw formation energy = -0.3194 eV per atom

Cell: 4.8882 4.8882 3.7980 Å, 90.00 90.00 114.05°
Fractional coordinates of all 4 atoms:
Zr (0.0000, 0.0000, 0.0000)
Au (0.0000, 0.5000, 0.5000)
Au (0.5000, 0.0000, 0.5000)
Se (0.5000, 0.5000, 0.0000)

=====

(2)
The following is a PBE-GGA calculation of MgScAl2 after structural relaxation, from Alexandria via LeMat-Bulk.

Summary:
formation energy = 0.65 eV per formula unit

Cell: 6.1337 6.1337 6.1337 Å, 103.42 103.42 122.39°
Fractional coordinates of all 8 atoms:
Mg (0.0000, 0.0000, 0.0000)
Mg (0.7500, 0.2500, 0.5000)
Sc (0.2500, 0.7500, 0.5000)
Sc (0.5000, 0.5000, 0.0000)
Al (0.1108, 0.6250, 0.9858)
Al (0.3750, 0.3608, 0.4858)
Al (0.6392, 0.1250, 0.0142)
Al (0.8750, 0.8892, 0.5142)

=====

(3)
The following is a PBE-GGA calculation of Ba2Cd4Hg3Pb after structural relaxation, from Alexandria via LeMat-Bulk.

Summary:
formation energy = -3.21 eV per formula unit

Cell: 4.8588 4.8588 12.7425 Å, 90.00 90.00 90.00°
Fractional coordinates of all 10 atoms:
Ba (0.0000, 0.5000, 0.2483)
Ba (0.5000, 0.0000, 0.7517)
Cd (0.0000, 0.0000, 0.0000)
Cd (0.0000, 0.5000, 0.6391)
Cd (0.5000, 0.0000, 0.3609)
Cd (0.5000, 0.5000, 0.0000)
Hg (0.0000, 0.5000, 0.8642)
Hg (0.5000, 0.0000, 0.1358)
Hg (0.5000, 0.5000, 0.5000)
Pb (0.0000, 0.0000, 0.5000)

=====

Quick rundown of raw total energy, same order as above: -4.966; -3.690; -1.533 eV/atom
Quick rundown of M_tot, same order as above: 0.0; 0.0; 0.0 μB/f.u.